# 1
La2Pr6Dy5 | GGA-PBE | optimized geometry

Results
- final energy (eV per atom) = -4.63
- formation energy from the elements (eV per atom) = 0.100
- space group = Pbam, No. 55

Lattice parameters (Å, degrees): 3.6872 11.9711 20.7472 90.00 90.00 90.00
Fractional coordinates of all 26 atoms:
La1 0.0000 0.3326 0.2827
La2 0.0000 0.6674 0.7173
La3 0.0000 0.8326 0.2173
La4 0.0000 0.1674 0.7827
Pr1 0.0000 0.0795 0.3643
Pr2 0.0000 0.9205 0.6357
Pr3 0.0000 0.5795 0.1357
Pr4 0.0000 0.4205 0.8643
Pr5 0.5000 0.3213 0.1250
Pr6 0.5000 0.6787 0.8750
Pr7 0.5000 0.8213 0.3750
Pr8 0.5000 0.1787 0.6250
Pr9 0.0000 0.5585 0.4233
Pr10 0.0000 0.4415 0.5767
Pr11 0.0000 0.0585 0.0767
Pr12 0.0000 0.9415 0.9233
Dy1 0.5000 0.2996 0.4446
Dy2 0.5000 0.7004 0.5554
Dy3 0.5000 0.7996 0.0554
Dy4 0.5000 0.2004 0.9446
Dy5 0.5000 0.5934 0.2786
Dy6 0.5000 0.4066 0.7214
Dy7 0.5000 0.0934 0.2214
Dy8 0.5000 0.9066 0.7786
Dy9 0.5000 0.5000 0.0000
Dy10 0.5000 0.0000 0.5000

# 2
LaZrI2O | GGA-PBE | optimized geometry

Results
- final energy (eV per atom) = -5.51
- ΔE_f (raw) (eV/f.u.) = -6.02
- space group = P4/mmm, No. 123

Lattice parameters (Å, degrees): 5.9683 5.9683 4.0133 90.00 90.00 90.00
Fractional coordinates of all 5 atoms:
I1 0.0000 0.5000 0.0000
I2 0.5000 0.0000 0.0000
O1 0.0000 0.0000 0.5000
Zr1 0.0000 0.0000 0.0000
La1 0.5000 0.5000 0.5000